Record 1
The following is a DFT calculation (GGA-PBE) of a relaxed structure of PrPd8Au2.

Unit cell a=6.4334 b=6.4334 c=5.4572 alpha=90.00 beta=90.00 gamma=90.00
With the nearest neighbours (Å) after each atom.
Sites, in units of the cell vectors:
Au  0.0000  0.5000  0.0000  8 Pd 2.70
Pd  0.2102  0.2102  0.7417  4 Pd 2.64-2.82, 2 Au 2.70, 1 Pr 2.95
Pd  0.7898  0.7898  0.7417  4 Pd 2.64-2.82, 2 Au 2.70, 1 Pr 2.95
Pd  0.7898  0.2102  0.2583  4 Pd 2.64-2.82, 2 Au 2.70, 1 Pr 2.95
Pr  0.5000  0.5000  0.5000  8 Pd 2.95
Pd  0.2102  0.7898  0.7417  4 Pd 2.64-2.82, 2 Au 2.70, 1 Pr 2.95
Pd  0.2102  0.7898  0.2583  4 Pd 2.64-2.82, 2 Au 2.70, 1 Pr 2.95
Au  0.5000  0.0000  0.0000  8 Pd 2.70
Pd  0.2102  0.2102  0.2583  4 Pd 2.64-2.82, 2 Au 2.70, 1 Pr 2.95
Pd  0.7898  0.2102  0.7417  4 Pd 2.64-2.82, 2 Au 2.70, 1 Pr 2.95
Pd  0.7898  0.7898  0.2583  4 Pd 2.64-2.82, 2 Au 2.70, 1 Pr 2.95

ΔE_f: 0.10 eV per atom
space-group type: P4/mmm
DOS at the Fermi energy: 1.27 states/eV/atom
electronic total energy: -4.70 eV per atom

=====

Record 2
The following is a DFT calculation (GGA-PBE) of a relaxed structure of La3Se.

Unit cell a=4.8379 b=4.8379 c=4.8379 alpha=90.00 beta=90.00 gamma=90.00
With the nearest neighbours (Å) after each atom.
Sites, in units of the cell vectors:
La  0.5000  0.0000  0.5000  8 La 3.42, 4 Se 3.42
La  0.5000  0.5000  0.0000  8 La 3.42, 4 Se 3.42
Se  0.0000  0.0000  0.0000  12 La 3.42
La  0.0000  0.5000  0.5000  8 La 3.42, 4 Se 3.42

space-group type: Pm-3m
DOS at the Fermi energy: 1.49 states/eV/atom
electronic total energy: -5.18 eV per atom
raw formation energy: -14.0 kcal/mol of atoms

=====

Record 3
The following is a DFT calculation (GGA-PBE) of a relaxed structure of NpFeSnRu.

Unit cell a=4.6393 b=4.6393 c=4.6393 alpha=60.00 beta=60.00 gamma=60.00
With the nearest neighbours (Å) after each atom.
Sites, in units of the cell vectors:
Ru  0.2500  0.2500  0.2500  4 Sn 2.84, 4 Np 2.84
Fe  0.7500  0.7500  0.7500  4 Sn 2.84, 4 Np 2.84
Np  0.5000  0.5000  0.5000  4 Fe 2.84, 4 Ru 2.84
Sn  0.0000  0.0000  0.0000  4 Fe 2.84, 4 Ru 2.84

ΔE_f: -0.05 eV per atom
space-group type: F-43m
DOS at the Fermi energy: 1.39 states/eV/atom
electronic total energy: -8.72 eV per atom

=====

Record 4
The following is a DFT calculation (GGA-PBE) of a relaxed structure of KLi6BiO6.

Unit cell a=6.5868 b=6.5868 c=6.6263 alpha=74.09 beta=74.09 gamma=78.58
With the nearest neighbours (Å) after each atom.
Sites, in units of the cell vectors:
O  0.9024  0.2989  0.1137  3 Li 1.80-2.02
Li  0.5601  0.9150  0.1690  3 O 1.88-2.02
Li  0.0850  0.4399  0.8310  3 O 1.88-2.02
Bi  0.0000  0.0000  0.0000  6 O 2.12-2.21
O  0.1862  0.1862  0.7250  2 Li 1.92, 1 Bi 2.12
O  0.0976  0.7011  0.8863  3 Li 1.80-2.02
Li  0.4399  0.0850  0.8310  3 O 1.88-2.02
Li  0.9150  0.5601  0.1690  3 O 1.88-2.02
O  0.2989  0.9024  0.1137  3 Li 1.80-2.02
K  0.0000  0.0000  0.5000  6 O 2.80-2.91
Li  0.3227  0.6773  0.0000  2 O 1.80
O  0.7011  0.0976  0.8863  3 Li 1.80-2.02
Li  0.6773  0.3227  0.0000  2 O 1.80
O  0.8138  0.8138  0.2750  2 Li 1.92, 1 Bi 2.12

space-group type: C2/m
electronic total energy: -4.71 eV per atom
raw formation energy: -32.5 kcal/mol of atoms

=====

Record 5
The following is a DFT calculation (GGA-PBE) of a relaxed structure of Zr2Tl2AgSe6.

Unit cell a=6.8587 b=6.8587 c=8.0390 alpha=97.78 beta=97.78 gamma=120.88
With the nearest neighbours (Å) after each atom.
Sites, in units of the cell vectors:
Ag  0.0000  0.0000  0.5000  6 Se 2.75-2.91
Se  0.2771  0.2771  0.3065  2 Zr 2.73, 1 Ag 2.75
Se  0.0679  0.4218  0.7068  2 Zr 2.71-2.72, 1 Ag 2.91
Se  0.5782  0.9321  0.2932  2 Zr 2.71-2.72, 1 Ag 2.91
Zr  0.3311  0.6689  0.5000  6 Se 2.71-2.73
Zr  0.6689  0.3311  0.5000  6 Se 2.71-2.73
Tl  0.8380  0.1620  0.0000  6 Se 3.16-3.28
Se  0.4218  0.0679  0.7068  2 Zr 2.71-2.72, 1 Ag 2.91
Tl  0.1620  0.8380  0.0000  6 Se 3.16-3.28
Se  0.7229  0.7229  0.6935  2 Zr 2.73, 1 Ag 2.75
Se  0.9321  0.5782  0.2932  2 Zr 2.71-2.72, 1 Ag 2.91

space-group type: C2/m
DOS at the Fermi energy: 0.77 states/eV/atom
electronic total energy: -4.96 eV per atom
raw formation energy: -18.8 kcal/mol of atoms

=====

Record 6
The following is a DFT calculation (GGA-PBE) of a relaxed structure of Tm7ScIn4.

Unit cell a=5.5788 b=8.9538 c=7.8523 alpha=69.25 beta=69.19 gamma=71.85
With the nearest neighbours (Å) after each atom.
Sites, in units of the cell vectors:
Tm  0.7964  0.8776  0.5296  4 In 3.38-3.75, 6 Tm 3.44-3.62, 1 Sc 3.74
Tm  0.2036  0.1224  0.4704  4 In 3.38-3.75, 6 Tm 3.44-3.62, 1 Sc 3.74
Tm  0.2470  0.7143  0.7918  4 In 2.95-3.12, 1 Sc 3.21
In  0.4510  0.7051  0.3930  4 Tm 2.95-3.26, 1 In 3.11
Tm  0.9255  0.4167  0.7322  5 In 3.13-3.41, 2 Tm 3.31-3.36
In  0.6775  0.6557  0.9892  5 Tm 2.95-3.13, 1 In 3.11
Tm  0.0745  0.5833  0.2678  5 In 3.13-3.41, 2 Tm 3.31-3.36
Tm  0.7530  0.2857  0.2082  4 In 2.95-3.12, 1 Sc 3.21
In  0.3225  0.3443  0.0108  5 Tm 2.95-3.13, 1 In 3.11
In  0.5490  0.2949  0.6070  4 Tm 2.95-3.26, 1 In 3.11
Sc  0.0000  0.0000  0.0000  2 Tm 2.79
Tm  0.5000  0.0000  0.0000  2 Sc 2.79, 2 In 2.95

ΔE_f: -0.07 eV per atom
space-group type: C2/m
DOS at the Fermi energy: 1.08 states/eV/atom
electronic total energy: -4.12 eV per atom

=====

Record 7
The following is a DFT calculation (GGA-PBE) of a relaxed structure of FePt2Au.

Unit cell a=4.8468 b=4.8468 c=4.8426 alpha=79.12 beta=79.12 gamma=33.98
With the nearest neighbours (Å) after each atom.
Sites, in units of the cell vectors:
Pt  0.9945  0.9945  0.0103  3 Fe 2.69-2.84, 4 Au 2.77-2.85, 5 Pt 2.81-2.83
Pt  0.7469  0.7469  0.7548  4 Fe 2.75-2.86, 3 Au 2.78-2.84, 5 Pt 2.81-2.83
Au  0.5044  0.5044  0.4969  7 Pt 2.77-2.85, 3 Fe 2.79-2.85, 2 Au 2.83
Fe  0.2542  0.2542  0.2380  7 Pt 2.69-2.86, 3 Au 2.79-2.85, 2 Fe 2.83

ΔE_f: -0.03 eV per atom
excess energy over the best structure of this formula in the dataset: 0.110 eV per atom
space-group type: Cm
DOS at the Fermi energy: 0.84 states/eV/atom
electronic total energy: -5.99 eV per atom

=====

Record 8
The following is a DFT calculation (GGA-PBE) of a relaxed structure of BeCo2Se.

Unit cell a=4.5651 b=4.5651 c=4.5651 alpha=136.40 beta=136.45 gamma=63.33
With the nearest neighbours (Å) after each atom.
Sites, in units of the cell vectors:
Co  0.0004  0.0004  0.0000  4 Se 2.40, 4 Be 2.57-2.58, 4 Co 2.58
Co  0.7503  0.2503  0.5000  4 Be 2.40, 4 Se 2.57-2.58, 4 Co 2.58
Se  0.4996  0.4996  0.0000  8 Co 2.40-2.58, 4 Be 2.58
Be  0.2496  0.7496  0.5000  8 Co 2.40-2.58, 4 Se 2.58

excess energy over the best structure of this formula in the dataset: 0.085 eV per atom
space-group type: Imm2
DOS at the Fermi energy: 1.04 states/eV/atom
electronic total energy: -5.20 eV per atom
raw formation energy: 3.7 kcal/mol of atoms

=====

Record 9
The following is a DFT calculation (GGA-PBE) of a relaxed structure of Nd3Er3Th.

Unit cell a=3.5800 b=11.3802 c=15.8367 alpha=132.66 beta=90.00 gamma=90.00
With the nearest neighbours (Å) after each atom.
Sites, in units of the cell vectors:
Er  0.2500  0.8624  0.5867  3 Th 3.32-3.38, 2 Nd 3.34, 6 Er 3.44-3.58
Er  0.7500  0.5720  0.3405  2 Th 3.43, 4 Nd 3.44-3.47, 4 Er 3.44-3.58
Th  0.7500  0.1453  0.6307  5 Er 3.32-3.43, 2 Nd 3.51, 4 Th 3.57-3.58
Nd  0.2500  0.3345  0.3646  4 Er 3.34-3.47, 6 Nd 3.52-3.73
Th  0.2500  0.8547  0.3693  5 Er 3.32-3.43, 2 Nd 3.51, 4 Th 3.57-3.58
Nd  0.7500  0.1612  0.1123  6 Nd 3.41-3.58, 2 Er 3.47-3.77
Nd  0.7500  0.5579  0.1165  2 Er 3.44-3.80, 4 Nd 3.46-3.58, 2 Th 3.51
Nd  0.7500  0.6655  0.6354  4 Er 3.34-3.47, 6 Nd 3.52-3.73
Nd  0.2500  0.8388  0.8877  6 Nd 3.41-3.58, 2 Er 3.47-3.77
Er  0.2500  0.4280  0.6595  2 Th 3.43, 4 Nd 3.44-3.47, 4 Er 3.44-3.58
Nd  0.2500  0.4421  0.8835  2 Er 3.44-3.80, 4 Nd 3.46-3.58, 2 Th 3.51
Er  0.7500  0.1376  0.4133  3 Th 3.32-3.38, 2 Nd 3.34, 6 Er 3.44-3.58
Er  0.2500  0.8872  0.1483  4 Er 3.57-3.58, 7 Nd 3.74-3.96, 1 Th 3.76
Er  0.7500  0.1128  0.8517  4 Er 3.57-3.58, 7 Nd 3.74-3.96, 1 Th 3.76

ΔE_f: 0.14 eV per atom
space-group type: P2_1/m
DOS at the Fermi energy: 1.24 states/eV/atom
electronic total energy: -4.92 eV per atom

=====

Record 10
The following is a DFT calculation (GGA-PBE) of a relaxed structure of NbAl2Pt8.

Unit cell a=4.0306 b=6.3742 c=7.3276 alpha=108.87 beta=105.96 gamma=90.00
With the nearest neighbours (Å) after each atom.
Sites, in units of the cell vectors:
Pt  0.0424  0.7258  0.0848  1 Al 2.67, 9 Pt 2.72-2.98, 2 Nb 2.86
Pt  0.3200  0.0694  0.6401  3 Al 2.58-2.86, 1 Nb 2.72, 8 Pt 2.75-2.84
Pt  0.9576  0.2742  0.9152  1 Al 2.67, 9 Pt 2.72-2.98, 2 Nb 2.86
Pt  0.6087  0.4595  0.2174  3 Al 2.57-2.76, 5 Pt 2.77-2.88, 1 Nb 2.81
Pt  0.8546  0.8018  0.7092  3 Al 2.71-2.73, 7 Pt 2.77-2.87, 2 Nb 2.85
Pt  0.6800  0.9306  0.3599  3 Al 2.58-2.86, 1 Nb 2.72, 8 Pt 2.75-2.84
Pt  0.3913  0.5405  0.7826  3 Al 2.57-2.76, 5 Pt 2.77-2.88, 1 Nb 2.81
Nb  0.5000  0.0000  0.0000  12 Pt 2.72-2.86
Al  0.7824  0.3505  0.5649  10 Pt 2.57-2.86
Al  0.2176  0.6495  0.4351  10 Pt 2.57-2.86
Pt  0.1454  0.1982  0.2908  3 Al 2.71-2.73, 7 Pt 2.77-2.87, 2 Nb 2.85

ΔE_f: -0.68 eV per atom
space-group type: C2/m
DOS at the Fermi energy: 0.80 states/eV/atom
electronic total energy: -6.67 eV per atom

=====

Record 11
The following is a DFT calculation (GGA-PBE) of a relaxed structure of UTlAg2Te4.

Unit cell a=7.4490 b=6.8769 c=6.8769 alpha=72.07 beta=57.21 gamma=57.21
With the nearest neighbours (Å) after each atom.
Sites, in units of the cell vectors:
U  0.5000  0.5000  0.5000  4 Te 2.99
Tl  0.0000  0.0000  0.0000  8 Te 3.31-3.65
Te  0.0837  0.9219  0.4503  2 Ag 2.77-2.98, 1 U 2.99
Te  0.4560  0.0781  0.5497  2 Ag 2.77-2.98, 1 U 2.99
Ag  0.8266  0.6734  0.6734  4 Te 2.77-2.98, 1 Ag 2.86
Te  0.5440  0.4503  0.9219  2 Ag 2.77-2.98, 1 U 2.99
Ag  0.1734  0.3266  0.3266  4 Te 2.77-2.98, 1 Ag 2.86
Te  0.9163  0.5497  0.0781  2 Ag 2.77-2.98, 1 U 2.99

space-group type: I222
DOS at the Fermi energy: 1.19 states/eV/atom
electronic total energy: -4.14 eV per atom
raw formation energy: -3.3 kcal/mol of atoms